# CsCrC2O6 (GGA+U, optimized geometry)
# - space group = No. 148
# - energy (eV per atom) = -7.32
data_CsCrC2O6
_cell_length_a 7.486
_cell_length_b 7.486
_cell_length_c 7.486
_cell_angle_alpha 38.15
_cell_angle_beta 38.15
_cell_angle_gamma 38.15
_space_group_name_H-M_alt 'P 1'
_space_group_IT_number 1
loop_
_space_group_symop_operation_xyz
'x,y,z'
loop_
_atom_site_label
_atom_site_fract_x
_atom_site_fract_y
_atom_site_fract_z
Cs1 0.000 0.000 0.000
Cr1 0.500 0.500 0.500
C1 0.220 0.220 0.220
C2 0.780 0.780 0.780
O1 0.065 0.725 0.543
O2 0.275 0.457 0.935
O3 0.457 0.935 0.275
O4 0.543 0.065 0.725
O5 0.725 0.543 0.065
O6 0.935 0.275 0.457